Record 1
A relaxed structure of MoCl2, computed with PBE-GGA.

a b c (Å): 7.031 7.031 7.031
angles (deg): 154.61 154.61 36.22
Sites, in units of the cell vectors:
Mo1 0.000 0.000 0.000
Cl1 0.389 0.389 0.000
Cl2 0.611 0.611 0.000

Computed properties:
VASP energy, eV per atom: -4.87
V, A^3/atom: 21.28
ΔE_f (raw), meV/atom: -33
SG: I4/mmm

***

Record 2
A relaxed structure of LiTcBr2, computed with PBE-GGA.

a b c (Å): 6.809 6.809 6.809
angles (deg): 128.05 128.05 76.54
Sites, in units of the cell vectors:
Li1 0.000 0.000 0.000
Li2 0.750 0.250 0.500
Tc1 0.250 0.750 0.500
Tc2 0.500 0.500 0.000
Br1 0.126 0.625 0.001
Br2 0.375 0.376 0.501
Br3 0.624 0.125 0.999
Br4 0.875 0.874 0.499

Computed properties:
VASP energy, eV per atom: -3.85
V, A^3/atom: 23.77
ΔE_f (raw), meV/atom: 54
SG: I-42d

***

Record 3
A relaxed structure of NaYGe3, computed with PBE-GGA.

a b c (Å): 5.463 5.463 5.463
angles (deg): 90.00 90.00 90.00
Sites, in units of the cell vectors:
Na1 0.000 0.000 0.000
Y1 0.500 0.500 0.500
Ge1 0.000 0.500 0.500
Ge2 0.500 0.000 0.500
Ge3 0.500 0.500 0.000

Computed properties:
VASP energy, eV per atom: -3.94
E_form, eV/f.u.: 1.9
V, A^3/atom: 32.62
SG: Pm-3m

***

Record 4
A relaxed structure of Cs2YAsSe4, computed with PBE-GGA.

a b c (Å): 15.147 13.584 8.276
angles (deg): 83.97 63.11 32.91
Sites, in units of the cell vectors:
Cs1 0.055 0.055 0.695
Cs2 0.305 0.305 0.945
Cs3 0.695 0.695 0.055
Cs4 0.945 0.945 0.305
Y1 0.125 0.125 0.125
Y2 0.875 0.875 0.875
As1 0.375 0.375 0.375
As2 0.625 0.625 0.625
Se1 0.017 0.338 0.432
Se2 0.287 0.568 0.662
Se3 0.338 0.017 0.713
Se4 0.432 0.713 0.017
Se5 0.568 0.287 0.983
Se6 0.662 0.983 0.287
Se7 0.713 0.432 0.338
Se8 0.983 0.662 0.568

Computed properties:
VASP energy, eV per atom: -4.38
V, A^3/atom: 42.50
ΔE_f (raw), meV/atom: -1036
SG: Fddd

***

Record 5
A relaxed structure of Ta2CoRu2, computed with PBE-GGA.

a b c (Å): 7.193 7.193 3.091
angles (deg): 90.00 90.00 90.00
Sites, in units of the cell vectors:
Ta1 0.166 0.334 0.000
Ta2 0.334 0.834 0.000
Ta3 0.666 0.166 0.000
Ta4 0.834 0.666 0.000
Co1 0.000 0.000 0.500
Co2 0.500 0.500 0.500
Ru1 0.136 0.636 0.500
Ru2 0.364 0.136 0.500
Ru3 0.636 0.864 0.500
Ru4 0.864 0.364 0.500

Computed properties:
VASP energy, eV per atom: -9.77
E_form, eV/f.u.: 0.5
V, A^3/atom: 15.99
SG: P4/mbm

***

Record 6
A relaxed structure of CeZrTe3, computed with PBE-GGA.

a b c (Å): 7.382 7.382 7.390
angles (deg): 99.80 99.80 120.63
Sites, in units of the cell vectors:
Ce1 0.167 0.833 0.000
Ce2 0.833 0.167 0.000
Zr1 0.329 0.671 0.500
Zr2 0.671 0.329 0.500
Te1 0.087 0.403 0.730
Te2 0.269 0.269 0.263
Te3 0.403 0.087 0.730
Te4 0.597 0.913 0.270
Te5 0.731 0.731 0.737
Te6 0.913 0.597 0.270

Computed properties:
VASP energy, eV per atom: -5.84
V, A^3/atom: 32.54
ΔE_f (raw), meV/atom: -1054
SG: C2/m